a:
# La7SmY12

La7SmY12 after structural relaxation (PBE, Alexandria via LeMat-Bulk).

The density of states at the Fermi level comes out at 61.8 states/eV per cell. Its size of the total moment is 0.00 μB per cell.

Cell lengths 11.3925, 11.3925, 11.3925 Å; angles 90.00, 90.00, 90.00 degrees
Space group Im-3m (No. 229)
Asymmetric unit:
La (0.0000, 0.0000, 0.5000) [6 per cell]
La (0.2500, 0.2500, 0.2500) [8 per cell]
Sm (0.0000, 0.0000, 0.0000) [2 per cell]
Y (0.0000, 0.2479, 0.2479) [24 per cell]

b:
# La7SmY12

La7SmY12 after structural relaxation (PBE, Alexandria via LeMat-Bulk).

The density of states at the Fermi level comes out at 118.1 states/eV per cell. Its size of the total moment is 0.00 μB per cell.

Cell lengths 12.1630, 12.1630, 16.4489 Å; angles 90.00, 90.00, 120.00 degrees
Space group R-3 (No. 148, hexagonal axes)
Asymmetric unit:
La (0.0000, 0.0000, 0.0000) [3 per cell]
La (0.0513, 0.1813, 0.2874) [18 per cell]
Sm (0.0000, 0.0000, 0.5000) [3 per cell]
Y (0.0258, 0.4474, 0.2209) [18 per cell]
Y (0.0528, 0.5861, 0.5838) [18 per cell]

Most stable structure, least stable structure: b, a.